This record from the Alexandria database describes an optimized crystal structure of DyPt5Pb. The functional is PBE.

Lattice parameters (Å, degrees): 8.813 5.512 11.039 90.00 90.00 90.00
Element x y z (fractional)
1 Dy 0.241 0.250 0.043
2 Dy 0.259 0.750 0.543
3 Dy 0.741 0.250 0.457
4 Dy 0.759 0.750 0.957
5 Pt 0.071 0.504 0.809
6 Pt 0.071 0.996 0.809
7 Pt 0.074 0.250 0.589
8 Pt 0.098 0.750 0.022
9 Pt 0.178 0.750 0.264
10 Pt 0.322 0.250 0.764
11 Pt 0.402 0.250 0.522
12 Pt 0.426 0.750 0.089
13 Pt 0.429 0.004 0.309
14 Pt 0.429 0.496 0.309
15 Pt 0.571 0.504 0.691
16 Pt 0.571 0.996 0.691
17 Pt 0.574 0.250 0.911
18 Pt 0.598 0.750 0.478
19 Pt 0.678 0.750 0.236
20 Pt 0.822 0.250 0.736
21 Pt 0.902 0.250 0.978
22 Pt 0.926 0.750 0.411
23 Pt 0.929 0.004 0.191
24 Pt 0.929 0.496 0.191
25 Pb 0.135 0.250 0.352
26 Pb 0.365 0.750 0.852
27 Pb 0.635 0.250 0.148
28 Pb 0.865 0.750 0.648

Calculated values
total magnetic moment	0.00	μB/cell
formation energy	-512	meV per atom
E	-42.095	eV/f.u.
SG	No. 62

This record from the Alexandria database describes an optimized crystal structure of Dy5PtPb4. The functional is PBE.

Lattice parameters (Å, degrees): 7.548 7.548 7.548 99.87 99.87 131.08
Element x y z (fractional)
1 Dy 0.000 0.000 0.000
2 Dy 0.134 0.501 0.828
3 Dy 0.306 0.134 0.633
4 Dy 0.501 0.673 0.367
5 Dy 0.673 0.306 0.172
6 Pt 0.486 0.486 0.000
7 Pb 0.208 0.818 0.224
8 Pb 0.594 0.983 0.776
9 Pb 0.818 0.594 0.610
10 Pb 0.983 0.208 0.390

Calculated values
total magnetic moment	0.00	μB/cell
formation energy	-463	meV per atom
E	-48.510	eV/f.u.
SG	No. 79

This record from the Alexandria database describes an optimized crystal structure of Dy3PtPb. The functional is PBE.

Lattice parameters (Å, degrees): 4.609 6.850 8.919 90.00 90.00 90.00
Element x y z (fractional)
1 Dy 0.250 0.002 0.159
2 Dy 0.250 0.250 0.580
3 Dy 0.250 0.498 0.159
4 Dy 0.750 0.502 0.841
5 Dy 0.750 0.750 0.420
6 Dy 0.750 0.998 0.841
7 Pt 0.250 0.250 0.901
8 Pt 0.750 0.750 0.099
9 Pb 0.250 0.750 0.647
10 Pb 0.750 0.250 0.353

Calculated values
total magnetic moment	0.00	μB/cell
formation energy	-746	meV per atom
E	-27.285	eV/f.u.
SG	No. 59

This record from the Alexandria database describes an optimized crystal structure of Dy4Pt2Pb. The functional is PBE.

Lattice parameters (Å, degrees): 10.673 10.673 10.673 25.09 25.09 25.09
Element x y z (fractional)
1 Dy 0.112 0.112 0.112
2 Dy 0.299 0.299 0.299
3 Dy 0.701 0.701 0.701
4 Dy 0.888 0.888 0.888
5 Pt 0.397 0.397 0.397
6 Pt 0.603 0.603 0.603
7 Pb 0.500 0.500 0.500

Calculated values
total magnetic moment	0.00	μB/cell
formation energy	-812	meV per atom
E	-39.879	eV/f.u.
SG	No. 166

This record from the Alexandria database describes an optimized crystal structure of DyPtPb. The functional is PBE.

Lattice parameters (Å, degrees): 4.746 4.746 3.580 90.00 90.00 120.00
Element x y z (fractional)
1 Dy 0.000 0.000 0.000
2 Pt 0.667 0.333 0.500
3 Pb 0.333 0.667 0.500

Calculated values
total magnetic moment	0.00	μB/cell
formation energy	-703	meV per atom
E	-16.461	eV/f.u.
SG	No. 187

This record from the Alexandria database describes an optimized crystal structure of DyPt4Pb. The functional is PBE.

Lattice parameters (Å, degrees): 5.450 5.450 5.450 60.00 60.00 60.00
Element x y z (fractional)
1 Dy 0.000 0.000 0.000
2 Pt 0.124 0.625 0.625
3 Pt 0.625 0.124 0.625
4 Pt 0.625 0.625 0.124
5 Pt 0.625 0.625 0.625
6 Pb 0.250 0.250 0.250

Calculated values
total magnetic moment	0.00	μB/cell
formation energy	-710	meV per atom
E	-36.731	eV/f.u.
SG	No. 216

This record from the Alexandria database describes an optimized crystal structure of DyPtPb. The functional is PBE.

Lattice parameters (Å, degrees): 3.538 3.538 11.579 90.00 90.00 90.00
Element x y z (fractional)
1 Dy 0.000 0.000 0.000
2 Dy 0.500 0.500 0.500
3 Pt 0.000 0.000 0.372
4 Pt 0.500 0.500 0.872
5 Pb 0.000 0.000 0.712
6 Pb 0.500 0.500 0.212

Calculated values
total magnetic moment	0.00	μB/cell
formation energy	-652	meV per atom
E	-16.306	eV/f.u.
SG	No. 107

This record from the Alexandria database describes an optimized crystal structure of Dy4Pt2Pb5. The functional is PBE.

Lattice parameters (Å, degrees): 8.183 3.598 9.967 90.00 94.53 90.00
Element x y z (fractional)
1 Dy 0.202 0.000 0.342
2 Dy 0.203 0.000 0.933
3 Dy 0.797 0.000 0.067
4 Dy 0.798 0.000 0.658
5 Pt 0.081 0.500 0.133
6 Pt 0.919 0.500 0.867
7 Pb 0.144 0.500 0.634
8 Pb 0.470 0.500 0.166
9 Pb 0.500 0.500 0.500
10 Pb 0.530 0.500 0.834
11 Pb 0.856 0.500 0.366

Calculated values
total magnetic moment	0.00	μB/cell
formation energy	-686	meV per atom
E	-56.573	eV/f.u.
SG	No. 10

This record from the Alexandria database describes an optimized crystal structure of DyPuPtPb. The functional is PBE.

Lattice parameters (Å, degrees): 7.370 7.370 7.370 90.00 90.00 90.00
Element x y z (fractional)
1 Dy 0.000 0.000 0.000
2 Dy 0.000 0.500 0.500
3 Dy 0.500 0.000 0.500
4 Dy 0.500 0.500 0.000
5 Pu 0.000 0.000 0.500
6 Pu 0.000 0.500 0.000
7 Pu 0.500 0.000 0.000
8 Pu 0.500 0.500 0.500
9 Pt 0.250 0.250 0.250
10 Pt 0.250 0.750 0.750
11 Pt 0.750 0.250 0.750
12 Pt 0.750 0.750 0.250
13 Pb 0.250 0.250 0.750
14 Pb 0.250 0.750 0.250
15 Pb 0.750 0.250 0.250
16 Pb 0.750 0.750 0.750

Calculated values
total magnetic moment	21.13	μB/cell
formation energy	-485	meV per atom
E	-30.624	eV/f.u.
SG	No. 216

This record from the Alexandria database describes an optimized crystal structure of DyPtRhPb. The functional is PBE.

Lattice parameters (Å, degrees): 6.829 6.829 6.829 90.00 90.00 90.00
Element x y z (fractional)
1 Dy 0.000 0.000 0.000
2 Dy 0.000 0.500 0.500
3 Dy 0.500 0.000 0.500
4 Dy 0.500 0.500 0.000
5 Pt 0.250 0.250 0.250
6 Pt 0.250 0.750 0.750
7 Pt 0.750 0.250 0.750
8 Pt 0.750 0.750 0.250
9 Rh 0.250 0.250 0.750
10 Rh 0.250 0.750 0.250
11 Rh 0.750 0.250 0.250
12 Rh 0.750 0.750 0.750
13 Pb 0.000 0.000 0.500
14 Pb 0.000 0.500 0.000
15 Pb 0.500 0.000 0.000
16 Pb 0.500 0.500 0.500

Calculated values
total magnetic moment	0.00	μB/cell
formation energy	-604	meV per atom
E	-24.118	eV/f.u.
SG	No. 216

This record from the Alexandria database describes an optimized crystal structure of DySi2Pt7Pb2. The functional is PBE.

Lattice parameters (Å, degrees): 4.003 4.003 15.429 97.26 97.26 90.03
Element x y z (fractional)
1 Dy 0.000 0.000 0.000
2 Si 0.387 0.387 0.767
3 Si 0.613 0.613 0.233
4 Pt 0.071 0.570 0.145
5 Pt 0.308 0.308 0.615
6 Pt 0.430 0.929 0.855
7 Pt 0.500 0.500 0.000
8 Pt 0.570 0.071 0.145
9 Pt 0.692 0.692 0.385
10 Pt 0.929 0.430 0.855
11 Pb 0.208 0.208 0.418
12 Pb 0.792 0.792 0.582

Calculated values
total magnetic moment	0.00	μB/cell
E	-72.756	eV/f.u.
uncorrected formation energy	-7.6	eV/f.u.
SG	No. 12

This record from the Alexandria database describes an optimized crystal structure of SmDyPtPb. The functional is PBE.

Lattice parameters (Å, degrees): 7.410 7.410 7.410 90.00 90.00 90.00
Element x y z (fractional)
1 Sm 0.000 0.000 0.000
2 Sm 0.000 0.500 0.500
3 Sm 0.500 0.000 0.500
4 Sm 0.500 0.500 0.000
5 Dy 0.000 0.000 0.500
6 Dy 0.000 0.500 0.000
7 Dy 0.500 0.000 0.000
8 Dy 0.500 0.500 0.500
9 Pt 0.250 0.250 0.250
10 Pt 0.250 0.750 0.750
11 Pt 0.750 0.250 0.750
12 Pt 0.750 0.750 0.250
13 Pb 0.250 0.250 0.750
14 Pb 0.250 0.750 0.250
15 Pb 0.750 0.250 0.250
16 Pb 0.750 0.750 0.750

Calculated values
total magnetic moment	0.00	μB/cell
formation energy	-716	meV per atom
E	-21.934	eV/f.u.
SG	No. 216